No. 1
Density functional theory data (PBE) for a relaxed Cu2TeNO crystal.

a b c (Å): 3.5595 7.2086 3.5595
angles (deg): 90.00 90.00 90.00
Positions (direct):
O: 0.0000 0.0000 0.0000
N: 0.5000 0.5000 0.5000
Cu: 0.5000 0.0000 0.0000
Te: 0.0000 0.5000 0.0000
Cu: 0.0000 0.0000 0.5000

---

No. 2
Density functional theory data (PBE) for a relaxed CuTeNO2 crystal.

a b c (Å): 3.9393 3.9393 4.0123
angles (deg): 90.00 90.00 90.00
Positions (direct):
Te: 0.0000 0.0000 0.0000
O: 0.0000 0.5000 0.0000
Cu: 0.5000 0.5000 0.5000
N: 0.0000 0.0000 0.5000
O: 0.5000 0.0000 0.0000

---

No. 3
Density functional theory data (PBE) for a relaxed CuTeN2O crystal.

a b c (Å): 3.8271 3.8271 3.8066
angles (deg): 90.00 90.00 90.00
Positions (direct):
O: 0.0000 0.0000 0.5000
Cu: 0.0000 0.0000 0.0000
N: 0.5000 0.0000 0.0000
Te: 0.5000 0.5000 0.5000
N: 0.0000 0.5000 0.0000

---

No. 4
Density functional theory data (PBE) for a relaxed CuTeN2O crystal.

a b c (Å): 3.9767 3.9767 3.8969
angles (deg): 90.00 90.00 90.00
Positions (direct):
N: 0.5000 0.0000 0.0000
Te: 0.0000 0.0000 0.0000
Cu: 0.5000 0.5000 0.5000
O: 0.0000 0.0000 0.5000
N: 0.0000 0.5000 0.0000

---

No. 5
Density functional theory data (PBE) for a relaxed CuTeN2O crystal.

a b c (Å): 3.5279 3.5279 6.4587
angles (deg): 90.00 90.00 90.00
Positions (direct):
Te: 0.0000 0.0000 0.5000
N: 0.5000 0.0000 0.0000
Cu: 0.0000 0.0000 0.0000
O: 0.5000 0.5000 0.5000
N: 0.0000 0.5000 0.0000

---

No. 6
Density functional theory data (PBE) for a relaxed CuTeN2O crystal.

a b c (Å): 3.8915 3.8915 4.2602
angles (deg): 90.00 90.00 90.00
Positions (direct):
Te: 0.0000 0.0000 0.5000
N: 0.5000 0.0000 0.0000
Cu: 0.5000 0.5000 0.5000
O: 0.0000 0.0000 0.0000
N: 0.0000 0.5000 0.0000

---

No. 7
Density functional theory data (PBE) for a relaxed TiCuNO2 crystal.

a b c (Å): 3.8137 3.8137 4.0062
angles (deg): 90.00 90.00 90.00
Positions (direct):
Ti: 0.0000 0.0000 0.0000
Cu: 0.5000 0.5000 0.5000
N: 0.0000 0.0000 0.5000
O: 0.0000 0.5000 0.0000
O: 0.5000 0.0000 0.0000

---

No. 8
Density functional theory data (PBE) for a relaxed TiCuNO2 crystal.

a b c (Å): 3.6597 3.6597 3.7315
angles (deg): 90.00 90.00 90.00
Positions (direct):
Ti: 0.5000 0.5000 0.5000
O: 0.5000 0.0000 0.0000
O: 0.0000 0.5000 0.0000
N: 0.0000 0.0000 0.5000
Cu: 0.0000 0.0000 0.0000

---

No. 9
Density functional theory data (PBE) for a relaxed TlCuNO2 crystal.

a b c (Å): 3.9877 3.9877 3.7390
angles (deg): 90.00 90.00 90.00
Positions (direct):
O: 0.0000 0.5000 0.0000
N: 0.0000 0.0000 0.5000
Tl: 0.5000 0.5000 0.5000
O: 0.5000 0.0000 0.0000
Cu: 0.0000 0.0000 0.0000

---

No. 10
Density functional theory data (PBE) for a relaxed TlCuNO2 crystal.

a b c (Å): 4.2810 4.2810 4.3300
angles (deg): 90.00 90.00 90.00
Positions (direct):
Tl: 0.0000 0.0000 0.0000
O: 0.5000 0.0000 0.0000
O: 0.0000 0.5000 0.0000
Cu: 0.5000 0.5000 0.5000
N: 0.0000 0.0000 0.5000

---

No. 11
Density functional theory data (PBE) for a relaxed TlCuN2O crystal.

a b c (Å): 4.3586 4.3586 4.2948
angles (deg): 90.00 90.00 90.00
Positions (direct):
N: 0.0000 0.5000 0.0000
Tl: 0.0000 0.0000 0.0000
Cu: 0.5000 0.5000 0.5000
N: 0.5000 0.0000 0.0000
O: 0.0000 0.0000 0.5000

---

No. 12
Density functional theory data (PBE) for a relaxed TlCuN2O crystal.

a b c (Å): 3.8530 3.8530 4.1601
angles (deg): 90.00 90.00 90.00
Positions (direct):
N: 0.5000 0.0000 0.0000
N: 0.0000 0.5000 0.0000
Tl: 0.5000 0.5000 0.5000
Cu: 0.0000 0.0000 0.0000
O: 0.0000 0.0000 0.5000

---

In the order shown, the computed E_tot values come out to -4.366 -4.669 -4.590 -4.577 -4.308 -3.784 -6.692 -6.216 -4.458 -3.701 -3.643 -4.421 eV/atom.
In the order shown, the computed uncorrected formation energy values come out to 0.557 0.427 1.179 1.192 1.462 1.985 -0.645 -0.169 0.483 1.240 1.972 1.193 eV per atom.